The following is a DFT calculation (PBE) of PrThCuSi after structural relaxation.

Cell lengths 5.1172, 5.1172, 5.1172 Å; angles 60.00, 60.00, 60.00 degrees
Positions (direct):
Pr (0.5000, 0.5000, 0.5000)
Cu (0.2500, 0.2500, 0.2500)
Si (0.7500, 0.7500, 0.7500)
Th (0.0000, 0.0000, 0.0000)

Results
density of states at the Fermi level	0.811	states/eV/atom
space group	F-43m, No. 216
energy relative to the elements, uncorrected	-0.28	eV/atom
calculated total energy	-0.4197	Ry per atom